# ZrPtN3 (PBE, optimized geometry)
# Space-group type: Pm-3m, No. 221
# Total magnetic moment (μB/atom): 0.0000
# Formation energy (no corrections) (eV/atom): 0.8757
data_ZrPtN3
_space_group_name_H-M_alt 'P 1'
_space_group_IT_number 1
_cell_length_a 3.889
_cell_length_b 3.889
_cell_length_c 3.889
_cell_angle_alpha 90.00
_cell_angle_beta 90.00
_cell_angle_gamma 90.00
loop_
_space_group_symop_operation_xyz
'x,y,z'
loop_
_atom_site_label
_atom_site_type_symbol
_atom_site_fract_x
_atom_site_fract_y
_atom_site_fract_z
_atom_site_occupancy
Zr1 Zr 0.000 0.000 0.000 1
Pt1 Pt 0.500 0.500 0.500 1
N1 N 0.000 0.500 0.500 1
N2 N 0.500 0.000 0.500 1
N3 N 0.500 0.500 0.000 1